{
  "formula": "Ti3GaB",
  "functional": "GGA-PBE",
  "state": "optimized geometry",
  "polymorph_energy_ev_per_fu": 0.02,
  "e_form_ev_per_atom": -0.422,
  "spacegroup": "Pm-3m (221)",
  "dos_ef_per_ev_cell": 3.804,
  "lattice_angstrom": [[4.251, 0.000, 0.000], [0.000, 4.251, 0.000], [0.000, 0.000, 4.251]],
  "species": ["Ti", "Ti", "Ti", "Ga", "B"],
  "fractional_positions": [[0.000, 0.000, 0.500], [0.000, 0.500, 0.000], [0.500, 0.000, 0.000], [0.500, 0.500, 0.500], [0.000, 0.000, 0.000]]
}